[1]
# Mg2CuAu SCAN single point on PBEsol structure
# Final energy   -24.029 eV/atom
# ΔH_f (0 K)   -1.81 eV/f.u.
# Calculated volume   65 Å³ per cell
# Density of states at the Fermi level   0.267 states/eV per atom
data_Mg2CuAu
_chemical_formula_sum 'Mg2 Cu1 Au1'
_cell_length_a 3.215
_cell_length_b 4.487
_cell_length_c 4.487
_cell_angle_alpha 90.00
_cell_angle_beta 90.00
_cell_angle_gamma 90.00
_space_group_name_H-M_alt 'P 1'
_space_group_IT_number 1
loop_
_space_group_symop_operation_xyz
'x,y,z'
loop_
_atom_site_label
_atom_site_type_symbol
_atom_site_fract_x
_atom_site_fract_y
_atom_site_fract_z
Mg1 Mg 0.000 0.000 0.124
Mg2 Mg 0.000 0.500 0.626
Au1 Au 0.500 0.000 0.623
Cu1 Cu 0.500 0.500 0.127

[2]
# Mg2CuAu SCAN single point on PBEsol structure
# Final energy   -24.017 eV/atom
# ΔH_f (0 K)   -1.77 eV/f.u.
# Calculated volume   65 Å³ per cell
# Density of states at the Fermi level   0.271 states/eV per atom
data_Mg2CuAu
_chemical_formula_sum 'Mg2 Cu1 Au1'
_cell_length_a 3.204
_cell_length_b 3.204
_cell_length_c 6.286
_cell_angle_alpha 90.00
_cell_angle_beta 90.00
_cell_angle_gamma 90.00
_space_group_name_H-M_alt 'P 1'
_space_group_IT_number 1
loop_
_space_group_symop_operation_xyz
'x,y,z'
loop_
_atom_site_label
_atom_site_type_symbol
_atom_site_fract_x
_atom_site_fract_y
_atom_site_fract_z
Mg1 Mg 0.000 0.000 0.741
Mg2 Mg 0.000 0.000 0.259
Au1 Au 0.500 0.500 0.000
Cu1 Cu 0.500 0.500 0.500

[3]
# Mg2CuAu SCAN single point on PBEsol structure
# Final energy   -24.016 eV/atom
# ΔH_f (0 K)   -1.76 eV/f.u.
# Calculated volume   64 Å³ per cell
# Density of states at the Fermi level   0.225 states/eV per atom
data_Mg2CuAu
_chemical_formula_sum 'Mg2 Cu1 Au1'
_cell_length_a 3.830
_cell_length_b 3.955
_cell_length_c 5.025
_cell_angle_alpha 113.18
_cell_angle_beta 112.40
_cell_angle_gamma 90.00
_space_group_name_H-M_alt 'P 1'
_space_group_IT_number 1
loop_
_space_group_symop_operation_xyz
'x,y,z'
loop_
_atom_site_label
_atom_site_type_symbol
_atom_site_fract_x
_atom_site_fract_y
_atom_site_fract_z
Mg1 Mg 0.002 0.002 0.005
Mg2 Mg 0.249 0.749 0.497
Au1 Au 0.498 0.498 0.995
Cu1 Cu 0.751 0.251 0.503

[4]
# Mg2CuAu SCAN single point on PBEsol structure
# Final energy   -23.980 eV/atom
# ΔH_f (0 K)   -1.62 eV/f.u.
# Calculated volume   66 Å³ per cell
# Density of states at the Fermi level   0.270 states/eV per atom
data_Mg2CuAu
_chemical_formula_sum 'Mg2 Cu1 Au1'
_cell_length_a 3.168
_cell_length_b 4.514
_cell_length_c 5.130
_cell_angle_alpha 108.91
_cell_angle_beta 107.98
_cell_angle_gamma 90.00
_space_group_name_H-M_alt 'P 1'
_space_group_IT_number 1
loop_
_space_group_symop_operation_xyz
'x,y,z'
loop_
_atom_site_label
_atom_site_type_symbol
_atom_site_fract_x
_atom_site_fract_y
_atom_site_fract_z
Mg1 Mg 0.982 0.958 0.964
Mg2 Mg 0.764 0.288 0.528
Au1 Au 0.515 0.485 0.031
Cu1 Cu 0.239 0.769 0.478

[5]
# MnCuAu2 SCAN single point on PBEsol structure
# Final energy   -43.242 eV/atom
# ΔH_f (0 K)   -1.20 eV/f.u.
# Calculated volume   59 Å³ per cell
# Density of states at the Fermi level   0.290 states/eV per atom
data_MnCuAu2
_chemical_formula_sum 'Mn1 Cu1 Au2'
_cell_length_a 3.850
_cell_length_b 3.850
_cell_length_c 4.844
_cell_angle_alpha 113.41
_cell_angle_beta 113.41
_cell_angle_gamma 90.00
_space_group_name_H-M_alt 'P 1'
_space_group_IT_number 1
loop_
_space_group_symop_operation_xyz
'x,y,z'
loop_
_atom_site_label
_atom_site_type_symbol
_atom_site_fract_x
_atom_site_fract_y
_atom_site_fract_z
Mn1 Mn 0.750 0.250 0.500
Au1 Au 0.000 0.000 0.000
Au2 Au 0.250 0.750 0.500
Cu1 Cu 0.500 0.500 0.000

[6]
# MnCu2Au SCAN single point on PBEsol structure
# Final energy   -29.680 eV/atom
# ΔH_f (0 K)   -0.91 eV/f.u.
# Calculated volume   53 Å³ per cell
# Density of states at the Fermi level   0.325 states/eV per atom
data_MnCu2Au
_chemical_formula_sum 'Mn1 Cu2 Au1'
_cell_length_a 3.753
_cell_length_b 3.753
_cell_length_c 4.631
_cell_angle_alpha 113.91
_cell_angle_beta 113.91
_cell_angle_gamma 90.00
_space_group_name_H-M_alt 'P 1'
_space_group_IT_number 1
loop_
_space_group_symop_operation_xyz
'x,y,z'
loop_
_atom_site_label
_atom_site_type_symbol
_atom_site_fract_x
_atom_site_fract_y
_atom_site_fract_z
Mn1 Mn 0.500 0.500 0.000
Au1 Au 0.250 0.750 0.500
Cu1 Cu 0.000 0.000 0.000
Cu2 Cu 0.750 0.250 0.500

[7]
# MnCuAu2 SCAN single point on PBEsol structure
# Final energy   -43.240 eV/atom
# ΔH_f (0 K)   -1.19 eV/f.u.
# Calculated volume   59 Å³ per cell
# Density of states at the Fermi level   0.370 states/eV per atom
data_MnCuAu2
_chemical_formula_sum 'Mn1 Cu1 Au2'
_cell_length_a 4.071
_cell_length_b 4.592
_cell_length_c 4.071
_cell_angle_alpha 63.68
_cell_angle_beta 90.00
_cell_angle_gamma 116.32
_space_group_name_H-M_alt 'P 1'
_space_group_IT_number 1
loop_
_space_group_symop_operation_xyz
'x,y,z'
loop_
_atom_site_label
_atom_site_type_symbol
_atom_site_fract_x
_atom_site_fract_y
_atom_site_fract_z
Mn1 Mn 0.500 0.000 0.500
Au1 Au 0.750 0.500 0.750
Au2 Au 0.250 0.500 0.250
Cu1 Cu 0.000 0.000 0.000

[8]
# Mn2CuAu SCAN single point on PBEsol structure
# Final energy   -30.481 eV/atom
# ΔH_f (0 K)   -1.06 eV/f.u.
# Calculated volume   56 Å³ per cell
# Density of states at the Fermi level   0.376 states/eV per atom
data_Mn2CuAu
_chemical_formula_sum 'Mn2 Cu1 Au1'
_cell_length_a 3.803
_cell_length_b 3.803
_cell_length_c 4.689
_cell_angle_alpha 113.92
_cell_angle_beta 113.92
_cell_angle_gamma 90.00
_space_group_name_H-M_alt 'P 1'
_space_group_IT_number 1
loop_
_space_group_symop_operation_xyz
'x,y,z'
loop_
_atom_site_label
_atom_site_type_symbol
_atom_site_fract_x
_atom_site_fract_y
_atom_site_fract_z
Au1 Au 0.500 0.500 0.000
Cu1 Cu 0.250 0.750 0.500
Mn1 Mn 0.000 0.000 0.000
Mn2 Mn 0.750 0.250 0.500

[9]
# MnCuAu2 SCAN single point on PBEsol structure
# Final energy   -43.186 eV/atom
# ΔH_f (0 K)   -0.98 eV/f.u.
# Calculated volume   60 Å³ per cell
# Density of states at the Fermi level   0.392 states/eV per atom
data_MnCuAu2
_chemical_formula_sum 'Mn1 Cu1 Au2'
_cell_length_a 2.923
_cell_length_b 4.567
_cell_length_c 4.567
_cell_angle_alpha 102.32
_cell_angle_beta 90.00
_cell_angle_gamma 90.00
_space_group_name_H-M_alt 'P 1'
_space_group_IT_number 1
loop_
_space_group_symop_operation_xyz
'x,y,z'
loop_
_atom_site_label
_atom_site_type_symbol
_atom_site_fract_x
_atom_site_fract_y
_atom_site_fract_z
Mn1 Mn 0.500 0.000 0.000
Au1 Au 0.000 0.000 0.500
Au2 Au 0.000 0.500 0.000
Cu1 Cu 0.500 0.500 0.500

[10]
# Mn2CuAu SCAN single point on PBEsol structure
# Final energy   -30.489 eV/atom
# ΔH_f (0 K)   -1.09 eV/f.u.
# Calculated volume   56 Å³ per cell
# Density of states at the Fermi level   0.476 states/eV per atom
data_Mn2CuAu
_chemical_formula_sum 'Mn2 Cu1 Au1'
_cell_length_a 3.686
_cell_length_b 3.890
_cell_length_c 3.890
_cell_angle_alpha 90.00
_cell_angle_beta 90.00
_cell_angle_gamma 90.00
_space_group_name_H-M_alt 'P 1'
_space_group_IT_number 1
loop_
_space_group_symop_operation_xyz
'x,y,z'
loop_
_atom_site_label
_atom_site_type_symbol
_atom_site_fract_x
_atom_site_fract_y
_atom_site_fract_z
Au1 Au 0.500 0.500 0.500
Cu1 Cu 0.500 0.000 0.000
Mn1 Mn 0.000 0.000 0.500
Mn2 Mn 0.000 0.500 0.000

[11]
# MnCu2Au SCAN single point on PBEsol structure
# Final energy   -29.631 eV/atom
# ΔH_f (0 K)   -0.71 eV/f.u.
# Calculated volume   54 Å³ per cell
# Density of states at the Fermi level   0.353 states/eV per atom
data_MnCu2Au
_chemical_formula_sum 'Mn1 Cu2 Au1'
_cell_length_a 3.066
_cell_length_b 3.066
_cell_length_c 5.713
_cell_angle_alpha 90.00
_cell_angle_beta 90.00
_cell_angle_gamma 90.00
_space_group_name_H-M_alt 'P 1'
_space_group_IT_number 1
loop_
_space_group_symop_operation_xyz
'x,y,z'
loop_
_atom_site_label
_atom_site_type_symbol
_atom_site_fract_x
_atom_site_fract_y
_atom_site_fract_z
Mn1 Mn 0.000 0.000 0.480
Au1 Au 0.500 0.500 0.756
Cu1 Cu 0.000 0.000 0.024
Cu2 Cu 0.500 0.500 0.240

[12]
# MnCu2Au SCAN single point on PBEsol structure
# Final energy   -29.610 eV/atom
# ΔH_f (0 K)   -0.63 eV/f.u.
# Calculated volume   53 Å³ per cell
# Density of states at the Fermi level   0.354 states/eV per atom
data_MnCu2Au
_chemical_formula_sum 'Mn1 Cu2 Au1'
_cell_length_a 3.129
_cell_length_b 3.092
_cell_length_c 5.511
_cell_angle_alpha 90.00
_cell_angle_beta 90.00
_cell_angle_gamma 90.00
_space_group_name_H-M_alt 'P 1'
_space_group_IT_number 1
loop_
_space_group_symop_operation_xyz
'x,y,z'
loop_
_atom_site_label
_atom_site_type_symbol
_atom_site_fract_x
_atom_site_fract_y
_atom_site_fract_z
Mn1 Mn 0.500 0.500 0.000
Au1 Au 0.500 0.500 0.500
Cu1 Cu 0.000 0.000 0.766
Cu2 Cu 0.000 0.000 0.234